# CoS2F (PBE+U, optimized geometry)
# E_tot = -3.714 eV per atom
# Crystal system = cubic
data_CoS2F
_chemical_formula_sum 'Co4 S8 F4'
_cell_length_a 5.846
_cell_length_b 5.846
_cell_length_c 5.846
_cell_angle_alpha 90.00
_cell_angle_beta 90.00
_cell_angle_gamma 90.00
_symmetry_space_group_name_H-M 'F m -3 m'
_symmetry_Int_Tables_number 225
_symmetry_space_group_name_Hall '-F 4 2 3'
loop_
_atom_site_label
_atom_site_fract_x
_atom_site_fract_y
_atom_site_fract_z
Co1 0.000 0.000 0.000
S1 0.250 0.250 0.250
F1 0.000 0.000 0.500